VASP calculation (PBE+U) on a relaxed structure of LiAcMn2O8.

CIF file:
```
data_LiAcMn2O8
_symmetry_space_group_name_H-M 'P -3'
_symmetry_Int_Tables_number 147
_cell_length_a 5.4488
_cell_length_b 5.4488
_cell_length_c 7.0317
_cell_angle_alpha 90.00
_cell_angle_beta 90.00
_cell_angle_gamma 120.00
loop_
_symmetry_equiv_pos_as_xyz
'x,y,z'
'-x,-y,-z'
'-y,x-y,z'
'y,-x+y,-z'
'-x+y,-x,z'
'x-y,x,-z'
loop_
_atom_site_label
_atom_site_fract_x
_atom_site_fract_y
_atom_site_fract_z
_atom_site_occupancy
Li1 0.0000 0.0000 0.0000 1
Ac1 0.0000 0.0000 0.5000 1
Mn1 0.3333 0.6667 0.2701 1
O1 0.1628 0.8341 0.2038 1
O2 0.3333 0.6667 0.5081 1
```

Properties
Its spin magnetization is 2.000 μB per cell. The calculation puts the density of states at the Fermi level at 7.22 states/eV per cell. The electronic total energy is -77.96 eV per formula unit.